Entry 1:
Material: PtRhN2
Method: DFT, SCAN
State: single point on PBEsol structure

Lattice parameters (Å, degrees): 2.8877 2.8877 18.5820 90.00 90.00 120.00
With the nearest neighbours (Å) after each atom.
Space group R-3m (No. 166, hexagonal axes)
Asymmetric unit:
Pt 0.0000 0.0000 0.0000  2 N 1.94
Rh 0.0000 0.0000 0.5000  6 N 2.03
N 0.0000 0.0000 0.1043  1 Pt 1.94, 3 Rh 2.03

## Properties
magnetic moment: 0.00 Bohr magnetons per cell
formation energy from raw total energies: 1.79 eV per formula unit
VASP energy: -30.188 eV/atom

***

Entry 2:
Material: Pt2RhN2
Method: DFT, SCAN
State: single point on PBEsol structure

Lattice parameters (Å, degrees): 4.9173 4.9173 5.1859 90.00 90.00 90.00
With the nearest neighbours (Å) after each atom.
Space group I4/mmm (No. 139)
Asymmetric unit:
Pt 0.0000 0.5000 0.2500  4 N 2.56, 2 Pt 2.59, 4 Rh 2.78
Rh 0.0000 0.0000 0.0000  2 N 1.99
N 0.0000 0.0000 0.3843  1 N 1.20

## Properties
magnetic moment: 0.00 Bohr magnetons per cell
formation energy from raw total energies: 5.06 eV per formula unit
VASP energy: -37.536 eV/atom